No. 1
! PBE-GGA RbPt2Cl, relaxed; values from VASP
&SYSTEM
  ibrav = 0, nat = 16, ntyp = 3
/
ATOMIC_SPECIES
Rb 85.47 Rb.upf
Pt 195.08 Pt.upf
Cl 35.45 Cl.upf
ATOMIC_POSITIONS angstrom
Rb 0.000 1.379 5.719
Rb 0.000 4.136 9.532
Rb 2.757 1.379 1.906
Rb 2.757 4.136 13.345
Pt 0.000 0.000 0.000
Pt 0.000 2.757 0.000
Pt 1.379 1.379 11.438
Pt 1.379 4.136 3.813
Pt 2.757 0.000 7.626
Pt 2.757 2.757 7.626
Pt 4.136 1.379 11.438
Pt 4.136 4.136 3.813
Cl 0.000 1.379 13.345
Cl 0.000 4.136 1.906
Cl 2.757 1.379 9.532
Cl 2.757 4.136 5.719
CELL_PARAMETERS angstrom
5.514 0.000 0.000
0.000 5.514 0.000
0.000 0.000 15.251
! final energy = -58.29 eV per cell
! symmetry = I4_1/amd
! formation energy from raw total energies = 0.081 eV/atom

=====

No. 2
! PBE-GGA RbPtCl6, relaxed; values from VASP
&SYSTEM
  ibrav = 0, nat = 16, ntyp = 3
/
ATOMIC_SPECIES
Rb 85.47 Rb.upf
Pt 195.08 Pt.upf
Cl 35.45 Cl.upf
ATOMIC_POSITIONS angstrom
Rb 0.000 0.000 0.000
Rb 4.040 4.726 0.000
Pt -0.903 4.726 3.028
Pt 3.137 0.000 3.028
Cl -0.542 3.086 4.655
Cl -0.542 6.366 4.655
Cl 0.848 0.000 3.478
Cl 1.386 4.726 2.578
Cl 2.775 1.640 1.401
Cl 2.775 7.812 1.401
Cl 3.498 1.640 4.655
Cl 3.498 7.812 4.655
Cl 4.888 4.726 3.478
Cl 5.426 0.000 2.578
Cl 6.815 3.086 1.401
Cl 6.815 6.366 1.401
CELL_PARAMETERS angstrom
8.080 0.000 0.000
0.000 9.452 0.000
-1.807 0.000 6.056
! final energy = -47.74 eV per cell
! symmetry = C2/m
! formation energy from raw total energies = -0.723 eV/atom

=====

No. 3
! PBE-GGA RbPt3Cl, relaxed; values from VASP
&SYSTEM
  ibrav = 0, nat = 5, ntyp = 3
/
ATOMIC_SPECIES
Rb 85.47 Rb.upf
Pt 195.08 Pt.upf
Cl 35.45 Cl.upf
ATOMIC_POSITIONS angstrom
Rb 0.000 0.000 0.000
Pt 0.000 2.391 2.391
Pt 2.391 0.000 2.391
Pt 2.391 2.391 0.000
Cl 2.391 2.391 2.391
CELL_PARAMETERS angstrom
4.782 0.000 0.000
0.000 4.782 0.000
0.000 0.000 4.782
! final energy = -17.11 eV per cell
! symmetry = Pm-3m
! energy above the most stable polymorph in this dataset = 0.000 eV/atom
! formation energy from raw total energies = 0.766 eV/atom

=====

No. 4
! PBE-GGA Rb2PtCl7, relaxed; values from VASP
&SYSTEM
  ibrav = 0, nat = 20, ntyp = 3
/
ATOMIC_SPECIES
Rb 85.47 Rb.upf
Pt 195.08 Pt.upf
Cl 35.45 Cl.upf
ATOMIC_POSITIONS angstrom
Rb 2.328 0.094 0.709
Rb 0.608 -0.094 5.973
Rb 9.552 0.094 4.555
Rb 7.832 -0.094 9.818
Pt 4.220 1.623 7.896
Pt 5.940 -1.623 2.632
Cl 4.220 3.893 7.896
Cl 4.686 2.599 2.194
Cl 1.988 1.508 8.559
Cl 3.575 1.506 5.665
Cl 7.195 2.599 3.070
Cl 4.865 1.506 10.127
Cl 6.452 1.508 7.233
Cl 3.709 -1.508 3.295
Cl 5.295 -1.506 0.401
Cl 2.966 -2.599 7.458
Cl 6.585 -1.506 4.863
Cl 8.172 -1.508 1.969
Cl 5.474 -2.599 8.334
Cl 5.940 -3.893 2.632
CELL_PARAMETERS angstrom
6.801 -4.647 0.000
6.801 4.647 0.000
-3.441 0.000 10.528
! final energy = -59.24 eV per cell
! symmetry = C2/c
! formation energy from raw total energies = -0.872 eV/atom

=====

Question: final energy of number 1 (RbPt2Cl)?
Answer: -58.29 eV per cell

=====

Question: What is the formula in the third record?
Answer: RbPt3Cl